Entry from the Alexandria database: a geometry-optimized Ce8InTc2 structure (GGA-PBE).

* energy above the most stable polymorph in this dataset: 0.00 eV/f.u.
* symmetry: No. 1
* total moment: 0.1087 μB/atom
* DOS(E_F): 2.300 states/eV per atom
* energy of formation from the pure elements: -89 meV per atom

POSCAR file:
```
Ce8InTc2
1.0
5.690 0.127 -1.727
-0.890 5.696 -2.441
-0.463 0.213 8.671
Ce Tc In
8 2 1
Cartesian
0.970 2.269 0.548
3.971 2.356 5.572
1.233 2.318 6.388
0.748 4.962 0.081
4.438 2.815 1.778
4.986 0.661 3.385
3.112 5.599 -2.310
1.736 4.335 3.246
3.658 3.894 -0.673
1.840 1.914 3.374
-0.670 5.097 5.631
```